1.
# Pu4N5 PBE-GGA optimized geometry
# **Energy above the lowest structure with this stoichiometry**: 0.973 eV/atom
data_Pu4N5
_space_group_name_H-M_alt 'P 1'
_space_group_IT_number 1
_cell_length_a 6.480
_cell_length_b 6.480
_cell_length_c 3.177
_cell_angle_alpha 103.19
_cell_angle_beta 103.19
_cell_angle_gamma 70.75
loop_
_space_group_symop_operation_xyz
'x,y,z'
loop_
_atom_site_label
_atom_site_type_symbol
_atom_site_fract_x
_atom_site_fract_y
_atom_site_fract_z
_atom_site_occupancy
Pu1 Pu 0.067 0.612 0.844 1
Pu2 Pu 0.388 0.933 0.156 1
Pu3 Pu 0.612 0.067 0.844 1
Pu4 Pu 0.933 0.388 0.156 1
N1 N 0.000 0.000 0.500 1
N2 N 0.261 0.739 0.500 1
N3 N 0.265 0.265 0.880 1
N4 N 0.735 0.735 0.120 1
N5 N 0.739 0.261 0.500 1

---

2.
A plane-wave DFT calculation with PBE-GGA was carried out for a relaxed PuN4 crystal.

Structure (CIF):
```
data_PuN4
_space_group_name_H-M_alt 'P 1'
_space_group_IT_number 1
_cell_length_a 4.043
_cell_length_b 4.043
_cell_length_c 4.043
_cell_angle_alpha 90.00
_cell_angle_beta 90.00
_cell_angle_gamma 90.00
loop_
_space_group_symop_operation_xyz
'x,y,z'
loop_
_atom_site_label
_atom_site_type_symbol
_atom_site_fract_x
_atom_site_fract_y
_atom_site_fract_z
_atom_site_occupancy
Pu1 Pu 0.000 0.000 0.000 1
N1 N 0.000 0.000 0.500 1
N2 N 0.000 0.500 0.000 1
N3 N 0.500 0.000 0.000 1
N4 N 0.500 0.500 0.500 1
```

---

3.
A plane-wave DFT calculation with PBE-GGA was carried out for a relaxed Pu3N4 crystal.

Structure (CIF):
```
data_Pu3N4
_space_group_name_H-M_alt 'P 1'
_space_group_IT_number 1
_cell_length_a 4.750
_cell_length_b 4.750
_cell_length_c 4.750
_cell_angle_alpha 90.00
_cell_angle_beta 90.00
_cell_angle_gamma 90.00
loop_
_space_group_symop_operation_xyz
'x,y,z'
loop_
_atom_site_label
_atom_site_type_symbol
_atom_site_fract_x
_atom_site_fract_y
_atom_site_fract_z
_atom_site_occupancy
Pu1 Pu 0.000 0.000 0.500 1
Pu2 Pu 0.000 0.500 0.000 1
Pu3 Pu 0.500 0.000 0.000 1
N1 N 0.000 0.000 0.000 1
N2 N 0.000 0.500 0.500 1
N3 N 0.500 0.000 0.500 1
N4 N 0.500 0.500 0.000 1
```

---

4.
A plane-wave DFT calculation with PBE-GGA was carried out for a relaxed PuN crystal.

Structure (CIF):
```
data_PuN
_space_group_name_H-M_alt 'P 1'
_space_group_IT_number 1
_cell_length_a 3.368
_cell_length_b 3.368
_cell_length_c 3.065
_cell_angle_alpha 90.00
_cell_angle_beta 90.00
_cell_angle_gamma 120.00
loop_
_space_group_symop_operation_xyz
'x,y,z'
loop_
_atom_site_label
_atom_site_type_symbol
_atom_site_fract_x
_atom_site_fract_y
_atom_site_fract_z
_atom_site_occupancy
Pu1 Pu 0.000 0.000 0.000 1
N1 N 0.667 0.333 0.500 1
```

---

5.
A plane-wave DFT calculation with PBE-GGA was carried out for a relaxed PuN crystal.

Structure (CIF):
```
data_PuN
_space_group_name_H-M_alt 'P 1'
_space_group_IT_number 1
_cell_length_a 3.495
_cell_length_b 3.495
_cell_length_c 3.495
_cell_angle_alpha 60.00
_cell_angle_beta 60.00
_cell_angle_gamma 60.00
loop_
_space_group_symop_operation_xyz
'x,y,z'
loop_
_atom_site_label
_atom_site_type_symbol
_atom_site_fract_x
_atom_site_fract_y
_atom_site_fract_z
_atom_site_occupancy
Pu1 Pu 0.000 0.000 0.000 1
N1 N 0.500 0.500 0.500 1
```

---

6.
A plane-wave DFT calculation with PBE-GGA was carried out for a relaxed Pu3N4 crystal.

Structure (CIF):
```
data_Pu3N4
_space_group_name_H-M_alt 'P 1'
_space_group_IT_number 1
_cell_length_a 6.216
_cell_length_b 6.216
_cell_length_c 6.216
_cell_angle_alpha 109.47
_cell_angle_beta 109.47
_cell_angle_gamma 109.47
loop_
_space_group_symop_operation_xyz
'x,y,z'
loop_
_atom_site_label
_atom_site_type_symbol
_atom_site_fract_x
_atom_site_fract_y
_atom_site_fract_z
_atom_site_occupancy
Pu1 Pu 0.125 0.750 0.875 1
Pu2 Pu 0.250 0.625 0.375 1
Pu3 Pu 0.375 0.250 0.625 1
Pu4 Pu 0.625 0.375 0.250 1
Pu5 Pu 0.750 0.875 0.125 1
Pu6 Pu 0.875 0.125 0.750 1
N1 N 0.000 0.376 0.500 1
N2 N 0.000 0.876 0.500 1
N3 N 0.124 0.124 0.124 1
N4 N 0.376 0.500 0.000 1
N5 N 0.500 0.000 0.376 1
N6 N 0.500 0.000 0.876 1
N7 N 0.624 0.624 0.624 1
N8 N 0.876 0.500 0.000 1
```

---

7.
A plane-wave DFT calculation with PBE-GGA was carried out for a relaxed PuN crystal.

Structure (CIF):
```
data_PuN
_space_group_name_H-M_alt 'P 1'
_space_group_IT_number 1
_cell_length_a 3.544
_cell_length_b 3.271
_cell_length_c 4.424
_cell_angle_alpha 90.00
_cell_angle_beta 102.90
_cell_angle_gamma 90.00
loop_
_space_group_symop_operation_xyz
'x,y,z'
loop_
_atom_site_label
_atom_site_type_symbol
_atom_site_fract_x
_atom_site_fract_y
_atom_site_fract_z
_atom_site_occupancy
Pu1 Pu 0.179 0.250 0.192 1
Pu2 Pu 0.821 0.750 0.808 1
N1 N 0.341 0.250 0.693 1
N2 N 0.659 0.750 0.307 1
```

---

8.
A plane-wave DFT calculation with PBE-GGA was carried out for a relaxed Rb2PuReN4 crystal.

Structure (CIF):
```
data_Rb2PuReN4
_space_group_name_H-M_alt 'P 1'
_space_group_IT_number 1
_cell_length_a 12.711
_cell_length_b 5.617
_cell_length_c 5.112
_cell_angle_alpha 90.00
_cell_angle_beta 90.00
_cell_angle_gamma 90.00
loop_
_space_group_symop_operation_xyz
'x,y,z'
loop_
_atom_site_label
_atom_site_type_symbol
_atom_site_fract_x
_atom_site_fract_y
_atom_site_fract_z
_atom_site_occupancy
Rb1 Rb 0.210 0.240 0.000 1
Rb2 Rb 0.290 0.760 0.500 1
Rb3 Rb 0.710 0.760 0.500 1
Rb4 Rb 0.790 0.240 0.000 1
Pu1 Pu 0.000 0.720 0.265 1
Pu2 Pu 0.500 0.280 0.765 1
Re1 Re 0.000 0.234 0.558 1
Re2 Re 0.500 0.766 0.058 1
N1 N 0.000 0.884 0.645 1
N2 N 0.000 0.997 0.877 1
N3 N 0.107 0.422 0.444 1
N4 N 0.393 0.578 0.944 1
N5 N 0.500 0.003 0.377 1
N6 N 0.500 0.116 0.145 1
N7 N 0.607 0.578 0.944 1
N8 N 0.893 0.422 0.444 1
```

---

9.
A plane-wave DFT calculation with PBE-GGA was carried out for a relaxed Rb2PuRe2N6 crystal.

Structure (CIF):
```
data_Rb2PuRe2N6
_space_group_name_H-M_alt 'P 1'
_space_group_IT_number 1
_cell_length_a 7.207
_cell_length_b 7.207
_cell_length_c 7.207
_cell_angle_alpha 51.68
_cell_angle_beta 51.68
_cell_angle_gamma 51.68
loop_
_space_group_symop_operation_xyz
'x,y,z'
loop_
_atom_site_label
_atom_site_type_symbol
_atom_site_fract_x
_atom_site_fract_y
_atom_site_fract_z
_atom_site_occupancy
Rb1 Rb 0.224 0.224 0.224 1
Rb2 Rb 0.776 0.776 0.776 1
Pu1 Pu 0.000 0.000 0.000 1
Re1 Re 0.428 0.428 0.428 1
Re2 Re 0.572 0.572 0.572 1
N1 N 0.243 0.243 0.722 1
N2 N 0.243 0.722 0.243 1
N3 N 0.278 0.757 0.757 1
N4 N 0.722 0.243 0.243 1
N5 N 0.757 0.278 0.757 1
N6 N 0.757 0.757 0.278 1
```

---

10.
A plane-wave DFT calculation with PBE-GGA was carried out for a relaxed RbPuReN4 crystal.

Structure (CIF):
```
data_RbPuReN4
_space_group_name_H-M_alt 'P 1'
_space_group_IT_number 1
_cell_length_a 6.030
_cell_length_b 6.019
_cell_length_c 7.978
_cell_angle_alpha 90.00
_cell_angle_beta 106.72
_cell_angle_gamma 90.00
loop_
_space_group_symop_operation_xyz
'x,y,z'
loop_
_atom_site_label
_atom_site_type_symbol
_atom_site_fract_x
_atom_site_fract_y
_atom_site_fract_z
_atom_site_occupancy
Rb1 Rb 0.203 0.250 0.431 1
Rb2 Rb 0.797 0.750 0.569 1
Pu1 Pu 0.297 0.250 0.955 1
Pu2 Pu 0.703 0.750 0.045 1
Re1 Re 0.240 0.750 0.149 1
Re2 Re 0.760 0.250 0.851 1
N1 N 0.025 0.750 0.939 1
N2 N 0.045 0.750 0.286 1
N3 N 0.443 0.514 0.162 1
N4 N 0.443 0.986 0.162 1
N5 N 0.557 0.014 0.838 1
N6 N 0.557 0.486 0.838 1
N7 N 0.955 0.250 0.714 1
N8 N 0.975 0.250 0.061 1
```

---

11.
A plane-wave DFT calculation with PBE-GGA was carried out for a relaxed RbPuReN3 crystal.

Structure (CIF):
```
data_RbPuReN3
_space_group_name_H-M_alt 'P 1'
_space_group_IT_number 1
_cell_length_a 6.988
_cell_length_b 6.988
_cell_length_c 8.016
_cell_angle_alpha 103.02
_cell_angle_beta 103.02
_cell_angle_gamma 31.99
loop_
_space_group_symop_operation_xyz
'x,y,z'
loop_
_atom_site_label
_atom_site_type_symbol
_atom_site_fract_x
_atom_site_fract_y
_atom_site_fract_z
_atom_site_occupancy
Rb1 Rb 0.140 0.140 0.062 1
Rb2 Rb 0.860 0.860 0.938 1
Pu1 Pu 0.161 0.161 0.581 1
Pu2 Pu 0.839 0.839 0.419 1
Re1 Re 0.495 0.495 0.650 1
Re2 Re 0.505 0.505 0.350 1
N1 N 0.009 0.009 0.323 1
N2 N 0.333 0.333 0.600 1
N3 N 0.355 0.355 0.249 1
N4 N 0.645 0.645 0.751 1
N5 N 0.667 0.667 0.400 1
N6 N 0.991 0.991 0.677 1
```

---

12.
A plane-wave DFT calculation with PBE-GGA was carried out for a relaxed RbPu2Ta3N8 crystal.

Structure (CIF):
```
data_RbPu2Ta3N8
_space_group_name_H-M_alt 'P 1'
_space_group_IT_number 1
_cell_length_a 6.775
_cell_length_b 6.775
_cell_length_c 6.775
_cell_angle_alpha 57.24
_cell_angle_beta 57.24
_cell_angle_gamma 57.24
loop_
_space_group_symop_operation_xyz
'x,y,z'
loop_
_atom_site_label
_atom_site_type_symbol
_atom_site_fract_x
_atom_site_fract_y
_atom_site_fract_z
_atom_site_occupancy
Rb1 Rb 0.000 0.000 0.000 1
Pu1 Pu 0.259 0.259 0.259 1
Pu2 Pu 0.633 0.633 0.633 1
Ta1 Ta 0.120 0.636 0.636 1
Ta2 Ta 0.636 0.120 0.636 1
Ta3 Ta 0.636 0.636 0.120 1
N1 N 0.392 0.392 0.836 1
N2 N 0.392 0.836 0.392 1
N3 N 0.399 0.399 0.399 1
N4 N 0.458 0.865 0.865 1
N5 N 0.836 0.392 0.392 1
N6 N 0.856 0.856 0.856 1
N7 N 0.865 0.458 0.865 1
N8 N 0.865 0.865 0.458 1
```

---

Formation energy (no corrections), respectively: -0.002 1.470 -0.764 -0.951 -1.250 -1.059 -0.751 -0.117 -0.379 -0.451 -0.509 -0.793 eV per atom.
Total magnetic moment, respectively: 0.001 2.223 12.000 4.999 4.849 24.000 0.650 10.001 4.000 8.000 7.611 8.006 Bohr magnetons per cell.